Density functional theory data (GGA-PBE) for an optimized crystal structure of Nb2CoAu.

Output
- Space group: R-3m (166)
- Formation energy: 1.5 eV/f.u.
- Volume: 69 Å³/f.u.
- Theoretical density: 10.7 g cm⁻³

Cell lengths 10.188, 10.188, 10.188 Å; angles 15.84, 15.84, 15.84 degrees
Fractional positions:
Nb 0.096 0.096 0.096
Nb 0.904 0.904 0.904
Co 0.500 0.500 0.500
Au 0.000 0.000 0.000

Density functional theory data (GGA-PBE) for an optimized crystal structure of Nb2Co2Au.

Output
- Energy relative to the lowest polymorph listed for this composition: 0 meV per atom
- Space group: P4/mbm (127)
- Formation energy: -0.8 eV/f.u.
- Volume: 75 Å³/f.u.
- Theoretical density: 11.1 g cm⁻³

Cell lengths 6.951, 6.951, 3.089 Å; angles 90.00, 90.00, 90.00 degrees
Fractional positions:
Nb 0.170 0.330 0.000
Nb 0.330 0.830 0.000
Nb 0.670 0.170 0.000
Nb 0.830 0.670 0.000
Co 0.128 0.628 0.500
Co 0.372 0.128 0.500
Co 0.628 0.872 0.500
Co 0.872 0.372 0.500
Au 0.000 0.000 0.500
Au 0.500 0.500 0.500

Density functional theory data (GGA-PBE) for an optimized crystal structure of Nb2Co2Au.

Output
- Energy relative to the lowest polymorph listed for this composition: 288 meV per atom
- Space group: P4/mbm (127)
- Formation energy: 0.6 eV/f.u.
- Volume: 78 Å³/f.u.
- Theoretical density: 10.6 g cm⁻³

Cell lengths 7.531, 7.531, 2.757 Å; angles 90.00, 90.00, 90.00 degrees
Fractional positions:
Nb 0.150 0.350 0.000
Nb 0.350 0.850 0.000
Nb 0.650 0.150 0.000
Nb 0.850 0.650 0.000
Co 0.139 0.639 0.500
Co 0.361 0.139 0.500
Co 0.639 0.861 0.500
Co 0.861 0.361 0.500
Au 0.000 0.000 0.000
Au 0.500 0.500 0.000

Density functional theory data (GGA-PBE) for an optimized crystal structure of NbCoAu.

Output
- Energy relative to the lowest polymorph listed for this composition: 0 meV per atom
- Space group: Cmcm (63)
- Formation energy: -0.3 eV/f.u.
- Volume: 47 Å³/f.u.
- Theoretical density: 12.3 g cm⁻³

Cell lengths 8.144, 8.144, 3.863 Å; angles 90.00, 90.00, 158.45 degrees
Fractional positions:
Nb 0.090 0.910 0.750
Nb 0.910 0.090 0.250
Co 0.455 0.545 0.750
Co 0.545 0.455 0.250
Au 0.296 0.704 0.750
Au 0.704 0.296 0.250

Density functional theory data (GGA-PBE) for an optimized crystal structure of NbCoAu3.

Output
- Energy relative to the lowest polymorph listed for this composition: 307 meV per atom
- Space group: Pm-3m (221)
- Formation energy: 7.1 eV/f.u.
- Volume: 133 Å³/f.u.
- Theoretical density: 9.3 g cm⁻³

Cell lengths 5.099, 5.099, 5.099 Å; angles 90.00, 90.00, 90.00 degrees
Fractional positions:
Nb 0.000 0.000 0.000
Co 0.500 0.500 0.500
Au 0.000 0.000 0.500
Au 0.000 0.500 0.000
Au 0.500 0.000 0.000

Density functional theory data (GGA-PBE) for an optimized crystal structure of NbCoAu.

Output
- Energy relative to the lowest polymorph listed for this composition: 32 meV per atom
- Space group: I4mm (107)
- Formation energy: -0.2 eV/f.u.
- Volume: 47 Å³/f.u.
- Theoretical density: 12.4 g cm⁻³

Cell lengths 4.963, 4.963, 4.963 Å; angles 141.61, 141.61, 55.41 degrees
Fractional positions:
Nb 0.000 0.000 0.000
Co 0.370 0.370 0.000
Au 0.689 0.689 0.000

Density functional theory data (GGA-PBE) for an optimized crystal structure of Nb2CoAu.

Output
- Space group: I-42d (122)
- Formation energy: 2.1 eV/f.u.
- Volume: 70 Å³/f.u.
- Theoretical density: 10.5 g cm⁻³

Cell lengths 9.761, 9.761, 9.761 Å; angles 157.19, 157.19, 32.48 degrees
Fractional positions:
Nb 0.114 0.625 0.989
Nb 0.375 0.364 0.489
Nb 0.636 0.125 0.011
Nb 0.875 0.886 0.511
Co 0.000 0.000 0.000
Co 0.750 0.250 0.500
Au 0.250 0.750 0.500
Au 0.500 0.500 0.000

Density functional theory data (GGA-PBE) for an optimized crystal structure of NbCo4Au.

Output
- Space group: F-43m (216)
- Formation energy: -0.5 eV/f.u.
- Volume: 77 Å³/f.u.
- Theoretical density: 11.3 g cm⁻³

Cell lengths 4.780, 4.780, 4.780 Å; angles 60.00, 60.00, 60.00 degrees
Fractional positions:
Nb 0.000 0.000 0.000
Co 0.125 0.625 0.625
Co 0.625 0.125 0.625
Co 0.625 0.625 0.125
Co 0.625 0.625 0.625
Au 0.250 0.250 0.250

Density functional theory data (GGA-PBE) for an optimized crystal structure of Nb2CoAu.

Output
- Space group: R3m (160)
- Formation energy: 0.7 eV/f.u.
- Volume: 73 Å³/f.u.
- Theoretical density: 10.1 g cm⁻³

Cell lengths 6.656, 6.656, 6.656 Å; angles 31.85, 31.85, 31.85 degrees
Fractional positions:
Nb 0.000 0.000 0.000
Nb 0.208 0.208 0.208
Co 0.600 0.600 0.600
Au 0.440 0.440 0.440

Density functional theory data (GGA-PBE) for an optimized crystal structure of NbCoNi2Au.

Output
- Space group: P4/mmm (123)
- Formation energy: 6.3 eV/f.u.
- Volume: 89 Å³/f.u.
- Theoretical density: 8.7 g cm⁻³

Cell lengths 4.520, 4.520, 4.371 Å; angles 90.00, 90.00, 90.00 degrees
Fractional positions:
Nb 0.000 0.000 0.000
Co 0.000 0.000 0.500
Ni 0.000 0.500 0.000
Ni 0.500 0.000 0.000
Au 0.500 0.500 0.500

Density functional theory data (GGA-PBE) for an optimized crystal structure of NbCoNiAu2.

Output
- Space group: P4/mmm (123)
- Formation energy: 7.6 eV/f.u.
- Volume: 113 Å³/f.u.
- Theoretical density: 8.9 g cm⁻³

Cell lengths 5.087, 5.087, 4.361 Å; angles 90.00, 90.00, 90.00 degrees
Fractional positions:
Nb 0.000 0.000 0.000
Co 0.000 0.000 0.500
Ni 0.500 0.500 0.500
Au 0.000 0.500 0.000
Au 0.500 0.000 0.000

Density functional theory data (GGA-PBE) for an optimized crystal structure of NbCoRhAu.

Output
- Space group: F-43m (216)
- Formation energy: -0.4 eV/f.u.
- Volume: 60 Å³/f.u.
- Theoretical density: 12.4 g cm⁻³

Cell lengths 4.403, 4.403, 4.403 Å; angles 60.00, 60.00, 60.00 degrees
Fractional positions:
Nb 0.000 0.000 0.000
Co 0.750 0.750 0.750
Rh 0.250 0.250 0.250
Au 0.500 0.500 0.500

Density functional theory data (GGA-PBE) for an optimized crystal structure of NbCoAuS2.

Output
- Space group: P4/mmm (123)
- Uncorrected formation energy: 269 kJ/mol of formula units
- Volume: 117 Å³/f.u.
- Theoretical density: 5.9 g cm⁻³

Cell lengths 4.700, 4.700, 5.281 Å; angles 90.00, 90.00, 90.00 degrees
Fractional positions:
Nb 0.000 0.000 0.000
Co 0.500 0.500 0.500
Au 0.000 0.000 0.500
S 0.000 0.500 0.000
S 0.500 0.000 0.000

Density functional theory data (GGA-PBE) for an optimized crystal structure of SrNb2CoAu.

Output
- Space group: P4/mmm (123)
- Formation energy: 13.6 eV/f.u.
- Volume: 124 Å³/f.u.
- Theoretical density: 7.1 g cm⁻³

Cell lengths 4.897, 4.897, 5.169 Å; angles 90.00, 90.00, 90.00 degrees
Fractional positions:
Sr 0.000 0.000 0.000
Nb 0.000 0.500 0.000
Nb 0.500 0.000 0.000
Co 0.500 0.500 0.500
Au 0.000 0.000 0.500

Density functional theory data (GGA-PBE) for an optimized crystal structure of NbV2CoAu.

Output
- Space group: P4/mmm (123)
- Formation energy: 6.9 eV/f.u.
- Volume: 93 Å³/f.u.
- Theoretical density: 8.1 g cm⁻³

Cell lengths 4.548, 4.548, 4.485 Å; angles 90.00, 90.00, 90.00 degrees
Fractional positions:
Nb 0.000 0.000 0.000
V 0.000 0.500 0.000
V 0.500 0.000 0.000
Co 0.000 0.000 0.500
Au 0.500 0.500 0.500

Density functional theory data (GGA-PBE) for an optimized crystal structure of Nd3CoAu.

Output
- Energy relative to the lowest polymorph listed for this composition: 8 meV per atom
- Space group: C2/m (12)
- Formation energy: -1.7 eV/f.u.
- Volume: 132 Å³/f.u.
- Theoretical density: 8.6 g cm⁻³

Cell lengths 8.346, 8.346, 8.437 Å; angles 92.25, 92.25, 26.82 degrees
Fractional positions:
Nd 0.053 0.053 0.305
Nd 0.243 0.243 0.700
Nd 0.398 0.398 0.049
Nd 0.602 0.602 0.951
Nd 0.757 0.757 0.300
Nd 0.947 0.947 0.695
Co 0.219 0.219 0.056
Co 0.781 0.781 0.944
Au 0.402 0.402 0.425
Au 0.598 0.598 0.575

Density functional theory data (GGA-PBE) for an optimized crystal structure of Nd5Co2Au2.

Output
- Space group: Cmce (64)
- Formation energy: -3.2 eV/f.u.
- Volume: 228 Å³/f.u.
- Theoretical density: 9.0 g cm⁻³

Cell lengths 8.840, 8.840, 7.571 Å; angles 90.00, 90.00, 50.54 degrees
Fractional positions:
Nd 0.000 0.000 0.000
Nd 0.050 0.693 0.678
Nd 0.193 0.550 0.178
Nd 0.307 0.950 0.678
Nd 0.450 0.807 0.178
Nd 0.500 0.500 0.500
Nd 0.550 0.193 0.822
Nd 0.693 0.050 0.322
Nd 0.807 0.450 0.822
Nd 0.950 0.307 0.322
Co 0.106 0.894 0.392
Co 0.394 0.606 0.892
Co 0.606 0.394 0.108
Co 0.894 0.106 0.608
Au 0.213 0.213 0.000
Au 0.287 0.287 0.500
Au 0.713 0.713 0.500
Au 0.787 0.787 0.000

Density functional theory data (GGA-PBE) for an optimized crystal structure of Nd5Co2Au.

Output
- Space group: I4/mcm (140)
- Formation energy: -2.0 eV/f.u.
- Volume: 205 Å³/f.u.
- Theoretical density: 8.4 g cm⁻³

Cell lengths 8.737, 8.737, 8.737 Å; angles 127.23, 127.23, 77.87 degrees
Fractional positions:
Nd 0.000 0.000 0.000
Nd 0.030 0.530 0.828
Nd 0.201 0.030 0.500
Nd 0.299 0.799 0.828
Nd 0.470 0.299 0.500
Nd 0.500 0.500 0.000
Nd 0.530 0.701 0.500
Nd 0.701 0.201 0.172
Nd 0.799 0.970 0.500
Nd 0.970 0.470 0.172
Co 0.130 0.370 0.500
Co 0.370 0.870 0.241
Co 0.630 0.130 0.759
Co 0.870 0.630 0.500
Au 0.250 0.250 0.000
Au 0.750 0.750 0.000

Density functional theory data (GGA-PBE) for an optimized crystal structure of Nd4Co2Au.

Output
- Space group: Cmcm (63)
- Formation energy: -0.9 eV/f.u.
- Volume: 200 Å³/f.u.
- Theoretical density: 7.4 g cm⁻³

Cell lengths 5.653, 5.653, 19.000 Å; angles 90.00, 90.00, 138.90 degrees
Fractional positions:
Nd 0.000 0.000 0.000
Nd 0.000 0.000 0.500
Nd 0.284 0.716 0.629
Nd 0.284 0.716 0.871
Nd 0.431 0.569 0.250
Nd 0.569 0.431 0.750
Nd 0.716 0.284 0.129
Nd 0.716 0.284 0.371
Co 0.284 0.716 0.019
Co 0.284 0.716 0.481
Co 0.716 0.284 0.519
Co 0.716 0.284 0.981
Au 0.144 0.856 0.250
Au 0.856 0.144 0.750

Density functional theory data (GGA-PBE) for an optimized crystal structure of Nd6Co2Au.

Output
- Space group: Immm (71)
- Formation energy: -2.0 eV/f.u.
- Volume: 241 Å³/f.u.
- Theoretical density: 8.1 g cm⁻³

Cell lengths 8.559, 8.559, 8.559 Å; angles 112.28, 108.48, 107.69 degrees
Fractional positions:
Nd 0.036 0.232 0.804
Nd 0.179 0.283 0.462
Nd 0.179 0.717 0.895
Nd 0.327 0.015 0.688
Nd 0.327 0.639 0.312
Nd 0.428 0.232 0.196
Nd 0.572 0.768 0.804
Nd 0.673 0.361 0.688
Nd 0.673 0.985 0.312
Nd 0.821 0.283 0.105
Nd 0.821 0.717 0.538
Nd 0.964 0.768 0.196
Co 0.113 0.613 0.500
Co 0.343 0.000 0.343
Co 0.657 0.000 0.657
Co 0.887 0.387 0.500
Au 0.000 0.000 0.000
Au 0.500 0.500 0.000

Density functional theory data (GGA-PBE) for an optimized crystal structure of Nd6CoAu2.

Output
- Space group: P2_1/c (14)
- Formation energy: -3.2 eV/f.u.
- Volume: 268 Å³/f.u.
- Theoretical density: 8.2 g cm⁻³

Cell lengths 6.973, 7.426, 12.239 Å; angles 90.00, 122.13, 90.00 degrees
Fractional positions:
Nd 0.121 0.023 0.252
Nd 0.121 0.477 0.752
Nd 0.244 0.689 0.064
Nd 0.244 0.811 0.564
Nd 0.371 0.189 0.058
Nd 0.371 0.311 0.558
Nd 0.629 0.689 0.442
Nd 0.629 0.811 0.942
Nd 0.756 0.189 0.436
Nd 0.756 0.311 0.936
Nd 0.879 0.523 0.248
Nd 0.879 0.977 0.748
Co 0.000 0.000 0.000
Co 0.000 0.500 0.500
Au 0.310 0.102 0.762
Au 0.310 0.398 0.262
Au 0.690 0.602 0.738
Au 0.690 0.898 0.238

Density functional theory data (GGA-PBE) for an optimized crystal structure of Nd3CoAu.

Output
- Energy relative to the lowest polymorph listed for this composition: 0 meV per atom
- Space group: P2_1/m (11)
- Formation energy: -1.7 eV/f.u.
- Volume: 134 Å³/f.u.
- Theoretical density: 8.5 g cm⁻³

Cell lengths 8.466, 3.905, 8.572 Å; angles 90.00, 108.83, 90.00 degrees
Fractional positions:
Nd 0.054 0.250 0.239
Nd 0.318 0.250 0.967
Nd 0.332 0.750 0.605
Nd 0.668 0.250 0.395
Nd 0.682 0.750 0.033
Nd 0.946 0.750 0.761
Co 0.061 0.250 0.571
Co 0.939 0.750 0.429
Au 0.356 0.750 0.246
Au 0.644 0.250 0.754

Density functional theory data (GGA-PBE) for an optimized crystal structure of PmNdCoAu.

Output
- Space group: F-43m (216)
- Formation energy: -1.3 eV/f.u.
- Volume: 93 Å³/f.u.
- Theoretical density: 9.7 g cm⁻³

Cell lengths 5.088, 5.088, 5.088 Å; angles 60.00, 60.00, 60.00 degrees
Fractional positions:
Pm 0.000 0.000 0.000
Nd 0.500 0.500 0.500
Co 0.250 0.250 0.250
Au 0.750 0.750 0.750

Density functional theory data (GGA-PBE) for an optimized crystal structure of PrNdCoAu.

Output
- Space group: F-43m (216)
- Formation energy: -1.2 eV/f.u.
- Volume: 95 Å³/f.u.
- Theoretical density: 9.4 g cm⁻³

Cell lengths 5.128, 5.128, 5.128 Å; angles 60.00, 60.00, 60.00 degrees
Fractional positions:
Pr 0.000 0.000 0.000
Nd 0.500 0.500 0.500
Co 0.750 0.750 0.750
Au 0.250 0.250 0.250